[1]
An optimized crystal structure of PaNiRu. Source: the Alexandria database, functional PBE.

a = 4.4042 Å, b = 4.4042 Å, c = 6.9388 Å
α = 71.50°, β = 71.50°, γ = 60.00°
Closest atoms and distances in Å follow each position.
Atoms (fractional coordinates):
Ru (0.6438, 0.6438, 0.0687)  2 Ni 2.60-2.81, 3 Pa 2.78, 3 Ru 2.91
Pa (0.2530, 0.2530, 0.2409)  6 Ru 2.56-2.78
Ni (0.4987, 0.4987, 0.5038)  3 Ni 2.75, 4 Ru 2.81-2.90, 3 Pa 3.06
Ni (0.7778, 0.7778, 0.6665)  2 Ru 2.45-2.60, 3 Pa 2.70
Ru (0.9044, 0.9044, 0.2868)  1 Ni 2.45, 3 Pa 2.56
Pa (0.0644, 0.0644, 0.8067)  3 Ni 2.70

The calculation puts the total energy at -8.47 eV/atom. The energy above the most stable polymorph in this dataset comes out at 174.1 meV/atom. The density of states at the Fermi level is 0.968 states/eV per atom. Its density is 11.968 Mg/m³. The value obtained for the magnetic moment is 0.00 μB/f.u.

---

[2]
An optimized crystal structure of PaNiRu. Source: the Alexandria database, functional PBE.

a = 3.7474 Å, b = 3.9811 Å, c = 7.7300 Å
α = 90.00°, β = 90.00°, γ = 90.00°
Closest atoms and distances in Å follow each position.
Atoms (fractional coordinates):
Pa (0.5000, 0.0000, 0.7580)  4 Ru 2.62-2.76, 4 Ni 2.74-2.82
Pa (0.0000, 0.5000, 0.2420)  4 Ru 2.62-2.76, 4 Ni 2.74-2.82
Ni (0.5000, 0.5000, 0.5002)  4 Ni 2.73, 4 Pa 2.74-2.82
Ru (0.0000, 0.0000, 0.9941)  4 Pa 2.62-2.76, 4 Ru 2.74
Ni (0.0000, 0.0000, 0.4998)  4 Ni 2.73, 4 Pa 2.74-2.82
Ru (0.5000, 0.5000, 0.0059)  4 Pa 2.62-2.76, 4 Ru 2.74

The calculation puts the total energy at -8.31 eV/atom. The energy above the most stable polymorph in this dataset comes out at 328.3 meV/atom. The density of states at the Fermi level is 0.505 states/eV per atom. Its density is 11.255 Mg/m³. The value obtained for the magnetic moment is 0.00 μB/f.u.

---

[3]
An optimized crystal structure of Pa6Ni6Ru. Source: the Alexandria database, functional PBE.

a = 5.2502 Å, b = 7.2307 Å, c = 7.2307 Å
α = 86.21°, β = 68.71°, γ = 68.71°
Closest atoms and distances in Å follow each position.
Atoms (fractional coordinates):
Pa (0.3396, 0.1604, 0.1604)  6 Ni 2.92, 3 Pa 2.94-3.02, 2 Ru 3.01
Ni (0.5000, 0.0000, 0.5000)  4 Ni 2.63-2.64, 6 Pa 2.69-2.92
Ni (0.0000, 0.0000, 0.5000)  4 Ni 2.63-2.64, 6 Pa 2.69-2.92
Pa (0.0000, 0.3018, 0.6982)  6 Ni 2.67-2.69, 1 Ru 2.98
Ni (0.5000, 0.5000, 0.0000)  4 Ni 2.63-2.64, 6 Pa 2.69-2.92
Pa (0.6757, 0.3243, 0.3243)  6 Ni 2.88-2.91, 1 Ru 2.97, 3 Pa 3.02-3.22
Pa (0.0000, 0.6982, 0.3018)  6 Ni 2.67-2.69, 1 Ru 2.98
Ru (0.0000, 0.0000, 0.0000)  8 Pa 2.97-3.01
Ni (0.5000, 0.7450, 0.2550)  4 Ni 2.64, 6 Pa 2.67-2.92
Ni (0.0000, 0.5000, 0.0000)  4 Ni 2.63-2.64, 6 Pa 2.69-2.92
Pa (0.6604, 0.8396, 0.8396)  6 Ni 2.92, 3 Pa 2.94-3.02, 2 Ru 3.01
Pa (0.3243, 0.6757, 0.6757)  6 Ni 2.88-2.91, 1 Ru 2.97, 3 Pa 3.02-3.22
Ni (0.5000, 0.2550, 0.7450)  4 Ni 2.64, 6 Pa 2.67-2.92

The calculation puts the total energy at -8.00 eV/atom. The density of states at the Fermi level is 1.365 states/eV per atom. Its density is 12.854 Mg/m³. The value obtained for the magnetic moment is 0.00 μB/f.u.

---

[4]
An optimized crystal structure of Pa9Ni4Ru11. Source: the Alexandria database, functional PBE.

a = 3.6081 Å, b = 11.3167 Å, c = 11.3167 Å
α = 109.24°, β = 90.00°, γ = 90.00°
Closest atoms and distances in Å follow each position.
Atoms (fractional coordinates):
Pa (0.5000, 0.5000, 0.5000)  4 Ni 2.56, 4 Ru 2.75
Pa (0.5000, 0.6128, 0.1633)  2 Ru 2.64, 1 Ni 2.72, 1 Pa 2.93
Pa (0.5000, 0.2267, 0.0404)  1 Ni 2.73, 8 Ru 2.81-3.04
Ni (0.5000, 0.5777, 0.7396)  3 Pa 2.56-2.73, 6 Ru 2.67-2.81
Ru (0.0000, 0.5666, 0.9091)  4 Pa 2.64-2.86, 2 Ni 2.67, 1 Ru 2.92
Ni (0.5000, 0.7396, 0.5777)  3 Pa 2.56-2.73, 6 Ru 2.67-2.81
Pa (0.5000, 0.1633, 0.6128)  2 Ru 2.64, 1 Ni 2.72, 1 Pa 2.93
Ru (0.0000, 0.4334, 0.0909)  4 Pa 2.64-2.86, 2 Ni 2.67, 1 Ru 2.92
Ni (0.5000, 0.4223, 0.2604)  3 Pa 2.56-2.73, 6 Ru 2.67-2.81
Pa (0.5000, 0.7733, 0.9596)  1 Ni 2.73, 8 Ru 2.81-3.04
Ru (0.0000, 0.8336, 0.1664)  8 Pa 2.85-3.07, 1 Ru 3.07
Ru (0.0000, 0.0909, 0.4334)  4 Pa 2.64-2.86, 2 Ni 2.67, 1 Ru 2.92
Pa (0.5000, 0.8367, 0.3872)  2 Ru 2.64, 1 Ni 2.72, 1 Pa 2.93
Pa (0.5000, 0.9596, 0.7733)  1 Ni 2.73, 8 Ru 2.81-3.04
Ru (0.0000, 0.6123, 0.3877)  2 Pa 2.75, 4 Ni 2.81
Ru (0.0000, 0.3877, 0.6123)  2 Pa 2.75, 4 Ni 2.81
Ru (0.0000, 0.9091, 0.5666)  4 Pa 2.64-2.86, 2 Ni 2.67, 1 Ru 2.92
Ru (0.0000, 0.2327, 0.2327)  4 Ni 2.74, 4 Pa 2.81, 1 Ru 3.05
Ru (0.0000, 0.0000, 0.0000)  8 Pa 3.04, 4 Ru 3.05-3.07
Pa (0.5000, 0.3872, 0.8367)  2 Ru 2.64, 1 Ni 2.72, 1 Pa 2.93
Ru (0.0000, 0.1664, 0.8336)  8 Pa 2.85-3.07, 1 Ru 3.07
Ni (0.5000, 0.2604, 0.4223)  3 Pa 2.56-2.73, 6 Ru 2.67-2.81
Pa (0.5000, 0.0404, 0.2267)  1 Ni 2.73, 8 Ru 2.81-3.04
Ru (0.0000, 0.7673, 0.7673)  4 Ni 2.74, 4 Pa 2.81, 1 Ru 3.05

The calculation puts the total energy at -9.11 eV/atom. The density of states at the Fermi level is 0.804 states/eV per atom. Its density is 13.040 Mg/m³. The value obtained for the magnetic moment is 0.00 μB/f.u.

---

[5]
An optimized crystal structure of Pa2NiRu4. Source: the Alexandria database, functional PBE.

a = 8.3534 Å, b = 5.8806 Å, c = 5.2395 Å
α = 106.10°, β = 90.00°, γ = 90.00°
Closest atoms and distances in Å follow each position.
Atoms (fractional coordinates):
Pa (0.0217, 0.7092, 0.3463)  3 Ru 2.47-2.75
Ru (0.2555, 0.9821, 0.6951)  1 Pa 2.47, 1 Ni 2.65, 2 Ru 2.70-2.71
Ru (0.2295, 0.3408, 0.1448)  2 Pa 2.55-2.75, 2 Ni 2.64-2.73, 3 Ru 2.70-2.77
Ru (0.7705, 0.6592, 0.8552)  2 Pa 2.55-2.75, 2 Ni 2.64-2.73, 3 Ru 2.70-2.77
Ni (0.0000, 0.0000, 0.0000)  6 Ru 2.64-2.73, 2 Pa 2.82
Ru (0.7295, 0.1592, 0.8552)  2 Pa 2.55-2.75, 2 Ni 2.64-2.73, 3 Ru 2.70-2.77
Ru (0.7555, 0.5179, 0.3049)  1 Pa 2.47, 1 Ni 2.65, 2 Ru 2.70-2.71
Pa (0.5217, 0.7908, 0.6537)  3 Ru 2.47-2.75
Ru (0.7445, 0.0179, 0.3049)  1 Pa 2.47, 1 Ni 2.65, 2 Ru 2.70-2.71
Ru (0.2445, 0.4821, 0.6951)  1 Pa 2.47, 1 Ni 2.65, 2 Ru 2.70-2.71
Pa (0.9783, 0.2908, 0.6537)  3 Ru 2.47-2.75
Ni (0.5000, 0.5000, 0.0000)  6 Ru 2.64-2.73, 2 Pa 2.82
Pa (0.4783, 0.2092, 0.3463)  3 Ru 2.47-2.75
Ru (0.2705, 0.8408, 0.1448)  2 Pa 2.55-2.75, 2 Ni 2.64-2.73, 3 Ru 2.70-2.77

The calculation puts the total energy at -9.09 eV/atom. The density of states at the Fermi level is 0.849 states/eV per atom. Its density is 12.424 Mg/m³. The value obtained for the magnetic moment is 0.00 μB/f.u.

---

[6]
An optimized crystal structure of PaNiRu. Source: the Alexandria database, functional PBE.

a = 4.7927 Å, b = 5.2183 Å, c = 5.2183 Å
α = 63.30°, β = 62.66°, γ = 62.66°
Closest atoms and distances in Å follow each position.
Atoms (fractional coordinates):
Ru (0.5000, 0.5000, 0.0000)  4 Ni 2.61, 2 Ru 2.74, 4 Pa 2.91
Ni (0.0000, 0.0000, 0.0000)  2 Ni 2.40, 4 Ru 2.61
Pa (0.8756, 0.3744, 0.3744)  6 Ru 2.91-3.13, 2 Pa 3.05, 6 Ni 3.05-3.13
Pa (0.1244, 0.6256, 0.6256)  6 Ru 2.91-3.13, 2 Pa 3.05, 6 Ni 3.05-3.13
Ni (0.5000, 0.0000, 0.0000)  2 Ni 2.40, 4 Ru 2.61
Ru (0.5000, 0.0000, 0.5000)  4 Ni 2.61, 2 Ru 2.74, 4 Pa 2.91

The calculation puts the total energy at -8.64 eV/atom. The energy above the most stable polymorph in this dataset comes out at 0.0 meV/atom. The density of states at the Fermi level is 0.982 states/eV per atom. Its density is 13.220 Mg/m³. The value obtained for the magnetic moment is 0.00 μB/f.u.

---

[7]
An optimized crystal structure of PaNi6Ru. Source: the Alexandria database, functional PBE.

a = 4.7273 Å, b = 4.7273 Å, c = 4.7273 Å
α = 90.00°, β = 90.00°, γ = 90.00°
Closest atoms and distances in Å follow each position.
Atoms (fractional coordinates):
Ru (0.0000, 0.0000, 0.0000)  12 Ni 2.63
Ni (0.0000, 0.5000, 0.2428)  2 Ni 2.30-2.43
Ni (0.5000, 0.2428, 0.0000)  2 Ni 2.30-2.43
Ni (0.5000, 0.7572, 0.0000)  2 Ni 2.30-2.43
Ni (0.0000, 0.5000, 0.7572)  2 Ni 2.30-2.43
Ni (0.7572, 0.0000, 0.5000)  2 Ni 2.30-2.43
Pa (0.5000, 0.5000, 0.5000)  12 Ni 2.66
Ni (0.2428, 0.0000, 0.5000)  2 Ni 2.30-2.43

The calculation puts the total energy at -6.75 eV/atom. The density of states at the Fermi level is 0.910 states/eV per atom. Its density is 10.756 Mg/m³. The value obtained for the magnetic moment is 0.00 μB/f.u.

---

[8]
An optimized crystal structure of Pa2Ni2Ru. Source: the Alexandria database, functional PBE.

a = 7.1706 Å, b = 7.1706 Å, c = 6.9374 Å
α = 90.00°, β = 90.00°, γ = 90.00°
Closest atoms and distances in Å follow each position.
Atoms (fractional coordinates):
Pa (0.6825, 0.8174, 0.5000)  6 Ni 2.64-2.82
Ru (0.5000, 0.5000, 0.7500)  4 Ni 2.85, 8 Pa 3.15
Pa (0.8174, 0.3175, 0.5000)  6 Ni 2.64-2.82
Ni (0.6218, 0.1218, 0.2500)  1 Ni 2.47, 2 Pa 2.64
Ru (0.5000, 0.5000, 0.2500)  4 Ni 2.85, 8 Pa 3.15
Ni (0.8782, 0.6218, 0.7500)  1 Ni 2.47, 2 Pa 2.64
Ni (0.8782, 0.6218, 0.2500)  1 Ni 2.47, 2 Pa 2.64
Pa (0.6826, 0.8175, 0.0000)  6 Ni 2.64-2.82
Ru (0.0000, 0.0000, 0.2500)  4 Ni 2.85, 8 Pa 3.15
Ni (0.3782, 0.8782, 0.7500)  1 Ni 2.47, 2 Pa 2.64
Ni (0.1218, 0.3782, 0.2500)  1 Ni 2.47, 2 Pa 2.64
Ni (0.3782, 0.8782, 0.2500)  1 Ni 2.47, 2 Pa 2.64
Ni (0.1218, 0.3782, 0.7500)  1 Ni 2.47, 2 Pa 2.64
Pa (0.3175, 0.1826, 0.5000)  6 Ni 2.64-2.82
Pa (0.3174, 0.1825, 0.0000)  6 Ni 2.64-2.82
Pa (0.1826, 0.6825, 0.5000)  6 Ni 2.64-2.82
Ni (0.6218, 0.1218, 0.7500)  1 Ni 2.47, 2 Pa 2.64
Pa (0.8175, 0.3174, 0.0000)  6 Ni 2.64-2.82
Pa (0.1825, 0.6826, 0.0000)  6 Ni 2.64-2.82
Ru (0.0000, 0.0000, 0.7500)  4 Ni 2.85, 8 Pa 3.15

The calculation puts the total energy at -8.38 eV/atom. The density of states at the Fermi level is 0.751 states/eV per atom. Its density is 12.672 Mg/m³. The value obtained for the magnetic moment is 0.00 μB/f.u.

---

[9]
An optimized crystal structure of Pa2NiRu. Source: the Alexandria database, functional PBE.

a = 4.0628 Å, b = 5.6348 Å, c = 7.3172 Å
α = 106.66°, β = 90.00°, γ = 90.00°
Closest atoms and distances in Å follow each position.
Atoms (fractional coordinates):
Pa (0.2500, 0.7899, 0.0672)  2 Ru 2.76, 4 Ni 2.79-2.99
Ni (0.7500, 0.6624, 0.7958)  7 Pa 2.79-3.06, 2 Ru 2.84
Pa (0.2500, 0.7720, 0.5696)  3 Ni 2.80-3.06, 4 Ru 2.80-3.12
Ni (0.2500, 0.3376, 0.2042)  7 Pa 2.79-3.06, 2 Ru 2.84
Ru (0.7500, 0.7047, 0.2957)  5 Pa 2.76-2.83, 2 Ni 2.84
Ru (0.2500, 0.2953, 0.7043)  5 Pa 2.76-2.83, 2 Ni 2.84
Pa (0.7500, 0.2101, 0.9328)  2 Ru 2.76, 4 Ni 2.79-2.99
Pa (0.7500, 0.2280, 0.4304)  3 Ni 2.80-3.06, 4 Ru 2.80-3.12

The calculation puts the total energy at -8.93 eV/atom. The density of states at the Fermi level is 1.475 states/eV per atom. Its density is 12.869 Mg/m³. The value obtained for the magnetic moment is 0.00 μB/f.u.

---

[10]
An optimized crystal structure of ScPaNiRu. Source: the Alexandria database, functional PBE.

a = 4.6897 Å, b = 4.6897 Å, c = 4.6897 Å
α = 60.00°, β = 60.00°, γ = 60.00°
Closest atoms and distances in Å follow each position.
Atoms (fractional coordinates):
Ru (0.7500, 0.7500, 0.7500)  4 Pa 2.87, 4 Sc 2.87
Pa (0.5000, 0.5000, 0.5000)  4 Ni 2.87, 4 Ru 2.87
Ni (0.2500, 0.2500, 0.2500)  4 Pa 2.87, 4 Sc 2.87
Sc (0.0000, 0.0000, 0.0000)  4 Ni 2.87, 4 Ru 2.87

The calculation puts the total energy at -8.11 eV/atom. The density of states at the Fermi level is 1.609 states/eV per atom. Its density is 9.921 Mg/m³. The value obtained for the magnetic moment is 0.00 μB/f.u.

---

Number 1: formation energy from the elements -0.28 eV/atom. Number 2: formation energy from the elements -0.13 eV/atom. Number 3: formation energy from the elements -0.23 eV/atom. Number 4: formation energy from the elements -0.34 eV/atom. Number 5: formation energy from the elements -0.25 eV/atom. Number 6: formation energy from the elements -0.46 eV/atom. Number 7: formation energy from the elements -0.06 eV/atom. Number 8: formation energy from the elements -0.41 eV/atom. Number 9: formation energy from the elements -0.42 eV/atom. Number 10: formation energy from the elements -0.39 eV/atom.